Record 1
First-principles (PBE-GGA) data for a relaxed AgBr crystal, as listed in Alexandria via LeMat-Bulk.

a = 7.1550 Å, b = 7.1550 Å, c = 7.3284 Å
α = 61.54°, β = 61.54°, γ = 32.72°
Closest atoms and distances in Å follow each position.
Fractional positions:
Ag  0.3391  0.3391  0.3672  3 Br 2.57-2.74
Ag  0.6968  0.6968  0.7168  3 Br 2.64-2.68
Ag  0.5916  0.5916  0.1826  2 Br 2.77, 2 Ag 2.97-3.03
Br  0.0518  0.0518  0.8982  2 Ag 2.68
Br  0.9179  0.9179  0.5133  3 Ag 2.64-2.74
Br  0.2361  0.2361  0.1554  3 Ag 2.57-2.77

## Properties
- raw total energy (eV/atom) = -2.52
- symmetry = Cm, No. 8

***

Record 2
First-principles (PBE-GGA) data for a relaxed Zn3HF crystal, as listed in Alexandria via LeMat-Bulk.

a = 4.0649 Å, b = 4.0649 Å, c = 4.0649 Å
α = 90.00°, β = 90.00°, γ = 90.00°
Closest atoms and distances in Å follow each position.
Fractional positions:
H  0.0000  0.0000  0.0000  6 Zn 2.03
Zn  0.0000  0.5000  0.0000  2 H 2.03
Zn  0.0000  0.0000  0.5000  2 H 2.03
Zn  0.5000  0.0000  0.0000  2 H 2.03
F  0.5000  0.5000  0.5000  12 Zn 2.87

## Properties
- DOS at the Fermi energy (states/eV per cell) = 1.747
- excess energy over the best structure of this formula in the dataset (eV per formula unit) = 0.00
- symmetry = Pm-3m, No. 221

***

Record 3
First-principles (PBE-GGA) data for a relaxed Zr3HgN crystal, as listed in Alexandria via LeMat-Bulk.

a = 12.2101 Å, b = 8.2612 Å, c = 8.2612 Å
α = 96.37°, β = 129.36°, γ = 50.64°
Closest atoms and distances in Å follow each position.
Fractional positions:
Hg  0.3471  0.1957  0.5118  7 Zr 3.06-3.33, 1 Hg 3.15
Hg  0.1529  0.0118  0.6957  7 Zr 3.06-3.33, 1 Hg 3.15
Hg  0.6529  0.8043  0.4882  7 Zr 3.06-3.33, 1 Hg 3.15
Hg  0.8471  0.9882  0.3043  7 Zr 3.06-3.33, 1 Hg 3.15
Zr  0.6838  0.4976  0.2193  1 N 2.10
Zr  0.8162  0.7193  0.9976  1 N 2.10
Zr  0.3162  0.5024  0.7807  1 N 2.10
Zr  0.1838  0.2807  0.0024  1 N 2.10
Zr  0.6747  0.1988  0.8267  1 N 2.06
Zr  0.8253  0.3267  0.6988  1 N 2.06
Zr  0.3253  0.8012  0.1733  1 N 2.06
Zr  0.1747  0.6733  0.3012  1 N 2.06
Zr  0.0039  0.2224  0.2023  2 N 2.11-2.20
Zr  0.4961  0.7023  0.7224  2 N 2.11-2.20
Zr  0.9961  0.7776  0.7977  2 N 2.11-2.20
Zr  0.5039  0.2977  0.2776  2 N 2.11-2.20
N  0.7500  0.1499  0.6499  4 Zr 2.06-2.11
N  0.2500  0.8501  0.3501  4 Zr 2.06-2.11
N  0.7500  0.5934  0.0934  4 Zr 2.10-2.20
N  0.2500  0.4066  0.9066  4 Zr 2.10-2.20

## Properties
- raw total energy (eV/atom) = -7.27
- DOS at the Fermi energy (states/eV per cell) = 21.353
- symmetry = C2/c, No. 15